Record 1
Material: TaNbSi2Cl
Method: DFT, PBE-GGA
State: optimized geometry

a b c (Å): 4.540 4.540 4.400
angles (deg): 90.00 90.00 90.00
Sites, in units of the cell vectors:
Ta 0.000 0.000 0.000
Nb 0.500 0.500 0.000
Si 0.000 0.500 0.500
Si 0.500 0.000 0.500
Cl 0.000 0.000 0.500

- Calculated total energy: -5.73 eV/atom



Record 2
Material: TaNb2SiCl
Method: DFT, PBE-GGA
State: optimized geometry

a b c (Å): 4.896 4.896 4.313
angles (deg): 90.00 90.00 90.00
Sites, in units of the cell vectors:
Ta 0.000 0.000 0.000
Nb 0.000 0.500 0.500
Nb 0.500 0.000 0.500
Si 0.500 0.500 0.500
Cl 0.500 0.500 0.000

- Calculated total energy: -6.60 eV/atom



Record 3
Material: TiNb2SiCl
Method: DFT, PBE-GGA
State: optimized geometry

a b c (Å): 4.897 4.897 4.311
angles (deg): 90.00 90.00 90.00
Sites, in units of the cell vectors:
Ti 0.000 0.000 0.000
Nb 0.000 0.500 0.000
Nb 0.500 0.000 0.000
Si 0.500 0.500 0.500
Cl 0.000 0.000 0.500

- Calculated total energy: -6.04 eV/atom



Record 4
Material: Nb3SnCl
Method: DFT, PBE-GGA
State: optimized geometry

a b c (Å): 4.593 4.593 4.593
angles (deg): 90.00 90.00 90.00
Sites, in units of the cell vectors:
Nb 0.000 0.000 0.500
Nb 0.000 0.500 0.000
Nb 0.500 0.000 0.000
Sn 0.500 0.500 0.500
Cl 0.000 0.000 0.000

- Offset from the most stable computed form: 0 meV per atom



Record 5
Material: NbSnCl2
Method: DFT, PBE-GGA
State: optimized geometry

a b c (Å): 9.997 9.997 9.997
angles (deg): 18.76 18.76 18.76
Sites, in units of the cell vectors:
Nb 0.000 0.000 0.000
Sn 0.500 0.500 0.500
Cl 0.081 0.081 0.081
Cl 0.919 0.919 0.919

- Offset from the most stable computed form: 371 meV per atom



Record 6
Material: NbSnCl3
Method: DFT, PBE-GGA
State: optimized geometry

a b c (Å): 5.087 5.087 5.087
angles (deg): 90.00 90.00 90.00
Sites, in units of the cell vectors:
Nb 0.000 0.000 0.000
Sn 0.500 0.500 0.500
Cl 0.000 0.000 0.500
Cl 0.000 0.500 0.000
Cl 0.500 0.000 0.000

- Offset from the most stable computed form: 0 meV per atom



Record 7
Material: NbSnCl2
Method: DFT, PBE-GGA
State: optimized geometry

a b c (Å): 4.832 4.832 4.832
angles (deg): 60.00 60.00 60.00
Sites, in units of the cell vectors:
Nb 0.000 0.000 0.000
Sn 0.500 0.500 0.500
Cl 0.250 0.250 0.250
Cl 0.750 0.750 0.750

- Offset from the most stable computed form: 884 meV per atom



Record 8
Material: NbSnCl
Method: DFT, PBE-GGA
State: optimized geometry

a b c (Å): 8.945 8.945 11.318
angles (deg): 124.79 124.79 37.39
Sites, in units of the cell vectors:
Nb 0.062 0.938 0.500
Nb 0.335 0.973 0.026
Nb 0.424 0.564 0.782
Nb 0.564 0.424 0.282
Nb 0.938 0.062 0.000
Nb 0.973 0.335 0.526
Sn 0.036 0.927 0.236
Sn 0.440 0.569 0.038
Sn 0.569 0.440 0.538
Sn 0.746 0.872 0.290
Sn 0.872 0.746 0.790
Sn 0.927 0.036 0.736
Cl 0.062 0.303 0.202
Cl 0.287 0.328 0.567
Cl 0.303 0.062 0.702
Cl 0.328 0.287 0.067
Cl 0.650 0.693 0.411
Cl 0.693 0.650 0.911

- Calculated total energy: -5.60 eV/atom



Record 9
Material: Nb2SnCl
Method: DFT, PBE-GGA
State: optimized geometry

a b c (Å): 4.749 4.749 4.749
angles (deg): 60.00 60.00 60.00
Sites, in units of the cell vectors:
Nb 0.250 0.250 0.250
Nb 0.750 0.750 0.750
Sn 0.000 0.000 0.000
Cl 0.500 0.500 0.500

- Offset from the most stable computed form: 0 meV per atom



Record 10
Material: Nb2SnCl
Method: DFT, PBE-GGA
State: optimized geometry

a b c (Å): 10.230 10.230 10.230
angles (deg): 156.73 156.73 33.14
Sites, in units of the cell vectors:
Nb 0.120 0.625 0.995
Nb 0.375 0.370 0.495
Nb 0.630 0.125 0.005
Nb 0.875 0.880 0.505
Sn 0.250 0.750 0.500
Sn 0.500 0.500 0.000
Cl 0.000 0.000 0.000
Cl 0.750 0.250 0.500

- Offset from the most stable computed form: 253 meV per atom



Record 11
Material: NbSn2Cl
Method: DFT, PBE-GGA
State: optimized geometry

a b c (Å): 8.263 8.263 8.263
angles (deg): 134.81 134.81 65.82
Sites, in units of the cell vectors:
Nb 0.000 0.000 0.000
Nb 0.750 0.250 0.500
Sn 0.091 0.625 0.966
Sn 0.375 0.341 0.466
Sn 0.659 0.125 0.034
Sn 0.875 0.909 0.534
Cl 0.250 0.750 0.500
Cl 0.500 0.500 0.000

- Offset from the most stable computed form: 127 meV per atom



Record 12
Material: NbSn2Cl
Method: DFT, PBE-GGA
State: optimized geometry

a b c (Å): 5.082 5.082 5.082
angles (deg): 60.00 60.00 60.00
Sites, in units of the cell vectors:
Nb 0.000 0.000 0.000
Sn 0.250 0.250 0.250
Sn 0.750 0.750 0.750
Cl 0.500 0.500 0.500

- Offset from the most stable computed form: 0 meV per atom



Record 13
Material: NbSnCl6
Method: DFT, PBE-GGA
State: optimized geometry

a b c (Å): 6.861 6.861 6.624
angles (deg): 97.49 97.49 122.12
Sites, in units of the cell vectors:
Nb 0.000 0.000 0.000
Sn 0.500 0.500 0.500
Cl 0.072 0.355 0.225
Cl 0.240 0.240 0.781
Cl 0.355 0.072 0.225
Cl 0.645 0.928 0.775
Cl 0.760 0.760 0.219
Cl 0.928 0.645 0.775

- Offset from the most stable computed form: 0 meV per atom



Record 14
Material: NbSnCl6
Method: DFT, PBE-GGA
State: optimized geometry

a b c (Å): 7.116 7.116 7.116
angles (deg): 55.20 55.20 55.20
Sites, in units of the cell vectors:
Nb 0.000 0.000 0.000
Sn 0.500 0.500 0.500
Cl 0.063 0.387 0.783
Cl 0.217 0.937 0.613
Cl 0.387 0.783 0.063
Cl 0.613 0.217 0.937
Cl 0.783 0.063 0.387
Cl 0.937 0.613 0.217

- Offset from the most stable computed form: 3 meV per atom



Record 15
Material: NbSnCl2
Method: DFT, PBE-GGA
State: optimized geometry

a b c (Å): 12.045 12.045 12.045
angles (deg): 15.24 15.24 15.24
Sites, in units of the cell vectors:
Nb 0.000 0.000 0.000
Sn 0.500 0.500 0.500
Cl 0.383 0.383 0.383
Cl 0.617 0.617 0.617

- Offset from the most stable computed form: 0 meV per atom



Record 16
Material: NbSnCl2
Method: DFT, PBE-GGA
State: optimized geometry

a b c (Å): 7.216 7.216 7.216
angles (deg): 125.46 125.46 80.78
Sites, in units of the cell vectors:
Nb 0.000 0.000 0.000
Nb 0.750 0.250 0.500
Sn 0.250 0.750 0.500
Sn 0.500 0.500 0.000
Cl 0.033 0.625 0.908
Cl 0.375 0.283 0.408
Cl 0.717 0.125 0.092
Cl 0.875 0.967 0.592

- Offset from the most stable computed form: 891 meV per atom



Record 17
Material: NbSnCl3
Method: DFT, PBE-GGA
State: optimized geometry

a b c (Å): 5.466 5.466 5.466
angles (deg): 90.00 90.00 90.00
Sites, in units of the cell vectors:
Nb 0.000 0.000 0.000
Sn 0.500 0.500 0.500
Cl 0.000 0.500 0.500
Cl 0.500 0.000 0.500
Cl 0.500 0.500 0.000

- Offset from the most stable computed form: 575 meV per atom



Record 18
Material: Nb3SnCl
Method: DFT, PBE-GGA
State: optimized geometry

a b c (Å): 5.166 5.166 5.166
angles (deg): 90.00 90.00 90.00
Sites, in units of the cell vectors:
Nb 0.000 0.000 0.500
Nb 0.000 0.500 0.000
Nb 0.500 0.000 0.000
Sn 0.000 0.000 0.000
Cl 0.500 0.500 0.500

- Offset from the most stable computed form: 1439 meV per atom



Record 19
Material: YNb2SnCl
Method: DFT, PBE-GGA
State: optimized geometry

a b c (Å): 5.245 5.245 5.289
angles (deg): 90.00 90.00 90.00
Sites, in units of the cell vectors:
Y 0.000 0.000 0.000
Nb 0.000 0.500 0.500
Nb 0.500 0.000 0.500
Sn 0.500 0.500 0.500
Cl 0.500 0.500 0.000

- Calculated total energy: -5.35 eV/atom



Record 20
Material: ZrNbSn2Cl
Method: DFT, PBE-GGA
State: optimized geometry

a b c (Å): 5.453 5.453 4.552
angles (deg): 90.00 90.00 90.00
Sites, in units of the cell vectors:
Zr 0.000 0.000 0.000
Nb 0.500 0.500 0.500
Sn 0.000 0.500 0.500
Sn 0.500 0.000 0.500
Cl 0.500 0.500 0.000

- Calculated total energy: -5.26 eV/atom



Record 21
Material: Sr2NbCl
Method: DFT, PBE-GGA
State: optimized geometry

a b c (Å): 7.324 7.324 7.324
angles (deg): 109.21 109.21 110.00
Sites, in units of the cell vectors:
Sr 0.077 0.125 0.452
Sr 0.375 0.923 0.048
Sr 0.673 0.625 0.548
Sr 0.875 0.327 0.952
Nb 0.250 0.750 0.500
Nb 0.500 0.500 0.000
Cl 0.000 0.000 0.000
Cl 0.750 0.250 0.500

- Offset from the most stable computed form: 0 meV per atom



Record 22
Material: Sr2NbCl
Method: DFT, PBE-GGA
State: optimized geometry

a b c (Å): 5.803 5.803 5.803
angles (deg): 60.00 60.00 60.00
Sites, in units of the cell vectors:
Sr 0.250 0.250 0.250
Sr 0.750 0.750 0.750
Nb 0.000 0.000 0.000
Cl 0.500 0.500 0.500

- Offset from the most stable computed form: 127 meV per atom



Record 23
Material: SrNb3Cl
Method: DFT, PBE-GGA
State: optimized geometry

a b c (Å): 4.776 4.776 4.776
angles (deg): 90.00 90.00 90.00
Sites, in units of the cell vectors:
Sr 0.000 0.000 0.000
Nb 0.000 0.500 0.500
Nb 0.500 0.000 0.500
Nb 0.500 0.500 0.000
Cl 0.500 0.500 0.500

- Offset from the most stable computed form: 0 meV per atom



Record 24
Material: SrNb2Cl
Method: DFT, PBE-GGA
State: optimized geometry

a b c (Å): 4.937 4.937 4.937
angles (deg): 60.00 60.00 60.00
Sites, in units of the cell vectors:
Sr 0.000 0.000 0.000
Nb 0.250 0.250 0.250
Nb 0.750 0.750 0.750
Cl 0.500 0.500 0.500

- Offset from the most stable computed form: 1283 meV per atom



Record 25
Material: Sr3NbCl
Method: DFT, PBE-GGA
State: optimized geometry

a b c (Å): 5.760 5.760 5.760
angles (deg): 90.00 90.00 90.00
Sites, in units of the cell vectors:
Sr 0.000 0.000 0.500
Sr 0.000 0.500 0.000
Sr 0.500 0.000 0.000
Nb 0.500 0.500 0.500
Cl 0.000 0.000 0.000

- Offset from the most stable computed form: 0 meV per atom



Record 26
Material: Sr2NbCl2
Method: DFT, PBE-GGA
State: optimized geometry

a b c (Å): 8.599 8.599 3.517
angles (deg): 90.00 90.00 90.00
Sites, in units of the cell vectors:
Sr 0.174 0.326 0.000
Sr 0.326 0.826 0.000
Sr 0.674 0.174 0.000
Sr 0.826 0.674 0.000
Nb 0.000 0.000 0.500
Nb 0.500 0.500 0.500
Cl 0.131 0.631 0.500
Cl 0.369 0.131 0.500
Cl 0.631 0.869 0.500
Cl 0.869 0.369 0.500

- Offset from the most stable computed form: 69 meV per atom



Record 27
Material: Sr3NbCl
Method: DFT, PBE-GGA
State: optimized geometry

a b c (Å): 5.993 5.993 5.993
angles (deg): 90.00 90.00 90.00
Sites, in units of the cell vectors:
Sr 0.000 0.000 0.500
Sr 0.000 0.500 0.000
Sr 0.500 0.000 0.000
Nb 0.000 0.000 0.000
Cl 0.500 0.500 0.500

- Offset from the most stable computed form: 413 meV per atom